Entry 1:
Below is crystalline Ce2PuSi at its relaxed geometry, with properties calculated at the PBE level.

Calculated values
The total magnetic moment is 7.80 μB/cell. For the energy above the most stable polymorph in this dataset, the calculation gives 137 meV per atom. The calculation puts the density of states at the Fermi level at 8.49 states/eV/f.u. The crystal system is cubic. As for the total energy: -8.110 eV/atom.

a b c (Å): 5.099 5.099 5.099
angles (deg): 60.00 60.00 60.00
Element x y z (fractional)
Ce 0.250 0.250 0.250
Ce 0.750 0.750 0.750
Pu 0.000 0.000 0.000
Si 0.500 0.500 0.500

***

Entry 2:
Below is crystalline LaAl2Hg at its relaxed geometry, with properties calculated at the PBE level.

Calculated values
The total magnetic moment is 0.00 μB/cell. As for the energy of formation from the pure elements: -153 meV/atom. The calculation puts the density of states at the Fermi level at 1.90 states/eV/f.u. The crystal system is orthorhombic. As for the total energy: -3.332 eV/atom.

a b c (Å): 5.148 5.148 5.148
angles (deg): 126.23 112.06 91.92
Element x y z (fractional)
La 0.000 0.000 0.000
Al 0.293 0.793 0.500
Al 0.707 0.207 0.500
Hg 0.500 0.500 0.000

***

What did the first record say?
Below is crystalline Ce2PuSi at its relaxed geometry, with properties calculated at the PBE level.

Calculated values
The total magnetic moment is 7.80 μB/cell. For the energy above the most stable polymorph in this dataset, the calculation gives 137 meV per atom. The calculation puts the density of states at the Fermi level at 8.49 states/eV/f.u. The crystal system is cubic. As for the total energy: -8.110 eV/atom.

a b c (Å): 5.099 5.099 5.099
angles (deg): 60.00 60.00 60.00
Element x y z (fractional)
Ce 0.250 0.250 0.250
Ce 0.750 0.750 0.750
Pu 0.000 0.000 0.000
Si 0.500 0.500 0.500

***

total magnetic moment of number 2 (LaAl2Hg)?
0.00 μB/cell